1.
LaZn2SnIr | PBE | optimized geometry

Unit cell a=6.4278 b=6.4278 c=6.4278 alpha=142.74 beta=138.36 gamma=57.09
Last column: nearest neighbours and their distance in Å.
Sites, in units of the cell vectors:
1 La 0.0000 0.0000 0.0000  2 Ir 3.13, 4 Zn 3.30, 4 Sn 3.42
2 Zn 0.6076 0.6076 0.0000  2 Zn 2.52, 2 Ir 2.55, 1 Sn 2.73
3 Zn 0.7368 0.2368 0.5000  2 Zn 2.52, 2 Sn 2.71
4 Sn 0.3660 0.3660 0.0000  3 Zn 2.71-2.73, 2 Ir 2.71
5 Ir 0.2088 0.7088 0.5000  2 Zn 2.55, 2 Sn 2.71

Its size of the total moment is 0.00 μB per formula unit. Its total energy is -22.3 eV/cell. Its symmetry is Imm2 (44).

2.
La2ZrSn3Ir4 | PBE | optimized geometry

Unit cell a=4.4108 b=4.4108 c=11.4471 alpha=90.00 beta=90.00 gamma=90.00
Last column: nearest neighbours and their distance in Å.
Sites, in units of the cell vectors:
1 La 0.0000 0.5000 0.2404  6 Sn 3.37-3.70, 8 Ir 3.40-3.53, 2 Zr 3.70
2 La 0.5000 0.0000 0.7596  6 Sn 3.37-3.70, 8 Ir 3.40-3.53, 2 Zr 3.70
3 Zr 0.0000 0.0000 0.5000  4 Ir 2.73
4 Sn 0.0000 0.5000 0.8718  5 Ir 2.64-2.65
5 Sn 0.5000 0.0000 0.1282  5 Ir 2.64-2.65
6 Sn 0.5000 0.5000 0.5000  4 Ir 2.73
7 Ir 0.0000 0.0000 0.0000  4 Sn 2.65
8 Ir 0.0000 0.5000 0.6410  3 Sn 2.64-2.73, 2 Zr 2.73
9 Ir 0.5000 0.0000 0.3590  3 Sn 2.64-2.73, 2 Zr 2.73
10 Ir 0.5000 0.5000 0.0000  4 Sn 2.65

Its size of the total moment is 0.00 μB per formula unit. Its total energy is -72.6 eV/cell. Its symmetry is P-4m2 (115).

3.
SrLaIr2 | PBE | optimized geometry

Unit cell a=4.9611 b=4.9611 c=4.9611 alpha=60.00 beta=60.00 gamma=60.00
Last column: nearest neighbours and their distance in Å.
Sites, in units of the cell vectors:
1 Sr 0.0000 0.0000 0.0000  4 Ir 3.04, 4 La 3.04
2 La 0.2500 0.2500 0.2500  4 Ir 3.04, 4 Sr 3.04
3 Ir 0.5000 0.5000 0.5000  4 La 3.04, 4 Ir 3.04
4 Ir 0.7500 0.7500 0.7500  4 Ir 3.04, 4 Sr 3.04

Its size of the total moment is 0.23 μB per formula unit. Its total energy is -23.8 eV/cell. The distance to the lowest polymorph of the same formula comes out at 571.1 meV per atom. Its symmetry is F-43m (216).

4.
SrLaIr2 | PBE | optimized geometry

Unit cell a=3.2662 b=5.0471 c=5.9011 alpha=90.00 beta=90.00 gamma=90.00
Last column: nearest neighbours and their distance in Å.
Sites, in units of the cell vectors:
1 Sr 0.0000 0.0000 0.0000  6 Ir 2.95-3.03, 2 Sr 3.27
2 La 0.5000 0.5000 0.5506  6 Ir 2.86-3.04
3 Ir 0.0000 0.0000 0.4995  2 Sr 2.95, 4 La 3.02, 2 Ir 3.27
4 Ir 0.5000 0.5000 0.0655  2 La 2.86-3.04, 4 Sr 3.03

Its size of the total moment is 0.00 μB per formula unit. Its total energy is -24.2 eV/cell. The distance to the lowest polymorph of the same formula comes out at 483.7 meV per atom. Its symmetry is Pmm2 (25).

5.
SrLaIr | PBE | optimized geometry

Unit cell a=5.0590 b=5.0590 c=5.0590 alpha=60.00 beta=60.00 gamma=60.00
Last column: nearest neighbours and their distance in Å.
Sites, in units of the cell vectors:
1 Sr 0.0000 0.0000 0.0000  4 Ir 3.10
2 La 0.5000 0.5000 0.5000  4 Ir 3.10
3 Ir 0.2500 0.2500 0.2500  4 La 3.10, 4 Sr 3.10

Its size of the total moment is 0.00 μB per formula unit. Its total energy is -16.6 eV/cell. The distance to the lowest polymorph of the same formula comes out at 106.9 meV per atom. Its symmetry is F-43m (216).

6.
SrLa4Ir | PBE | optimized geometry

Unit cell a=6.4514 b=6.4514 c=6.4514 alpha=60.00 beta=60.00 gamma=60.00
Last column: nearest neighbours and their distance in Å.
Sites, in units of the cell vectors:
1 Sr 0.0000 0.0000 0.0000  12 La 3.79, 4 Ir 3.95
2 La 0.3791 0.3791 0.3791  6 La 3.12-3.33
3 La 0.3791 0.3791 0.8626  6 La 3.12-3.33
4 La 0.3791 0.8626 0.3791  6 La 3.12-3.33
5 La 0.8626 0.3791 0.3791  6 La 3.12-3.33
6 Ir 0.7500 0.7500 0.7500  12 La 3.77, 4 Sr 3.95

Its size of the total moment is 0.00 μB per formula unit. Its total energy is -26.9 eV/cell. Its symmetry is F-43m (216).

7.
SrLa8Ir5 | PBE | optimized geometry

Unit cell a=11.1878 b=11.1878 c=10.3048 alpha=103.40 beta=103.40 gamma=22.10
Last column: nearest neighbours and their distance in Å.
Sites, in units of the cell vectors:
1 Sr 0.0000 0.0000 0.0000  10 La 4.22-4.49, 2 Sr 4.29
2 La 0.0721 0.0721 0.6545  4 Ir 2.85-2.96
3 La 0.2580 0.2580 0.3391  5 Ir 2.94-2.97
4 La 0.3218 0.3218 0.0108  3 Ir 2.87-2.88
5 La 0.4035 0.4035 0.6456  3 Ir 2.86-2.87
6 La 0.5965 0.5965 0.3544  3 Ir 2.86-2.87
7 La 0.6782 0.6782 0.9892  3 Ir 2.87-2.88
8 La 0.7420 0.7420 0.6609  5 Ir 2.94-2.97
9 La 0.9279 0.9279 0.3455  4 Ir 2.85-2.96
10 Ir 0.1654 0.1654 0.5038  6 La 2.85-2.96, 1 Ir 3.18
11 Ir 0.2018 0.2018 0.8218  6 La 2.87-2.97, 1 Ir 3.18
12 Ir 0.5000 0.5000 0.5000  6 La 2.87-2.91
13 Ir 0.7982 0.7982 0.1782  6 La 2.87-2.97, 1 Ir 3.18
14 Ir 0.8346 0.8346 0.4962  6 La 2.85-2.96, 1 Ir 3.18

Its size of the total moment is 0.00 μB per formula unit. Its total energy is -94.0 eV/cell. Its symmetry is C2/m (12).

8.
SrLaIr2 | PBE | optimized geometry

Unit cell a=3.9603 b=3.9603 c=6.4080 alpha=90.00 beta=90.00 gamma=90.00
Last column: nearest neighbours and their distance in Å.
Sites, in units of the cell vectors:
1 Sr 0.0000 0.0000 0.0000  5 Ir 2.99-3.05
2 La 0.5000 0.5000 0.5951  5 Ir 2.61-2.92
3 Ir 0.0000 0.0000 0.4669  4 La 2.92, 1 Sr 2.99
4 Ir 0.5000 0.5000 0.1879  1 La 2.61

Its size of the total moment is 0.00 μB per formula unit. Its total energy is -23.9 eV/cell. The distance to the lowest polymorph of the same formula comes out at 554.1 meV per atom. Its symmetry is P4mm (99).

9.
Sr2LaIr | PBE | optimized geometry

Unit cell a=6.6004 b=6.6004 c=6.6004 alpha=140.05 beta=140.05 gamma=57.78
Last column: nearest neighbours and their distance in Å.
Sites, in units of the cell vectors:
1 Sr 0.2500 0.7500 0.5000  4 Sr 3.19
2 Sr 0.7500 0.2500 0.5000  4 Sr 3.19
3 La 0.0000 0.0000 0.0000  4 Ir 3.19
4 Ir 0.5000 0.5000 0.0000  4 La 3.19

Its size of the total moment is 0.00 μB per formula unit. Its total energy is -16.6 eV/cell. The distance to the lowest polymorph of the same formula comes out at 461.9 meV per atom. Its symmetry is I4/mmm (139).

10.
SrLaIr4 | PBE | optimized geometry

Unit cell a=5.4768 b=5.4768 c=5.4768 alpha=60.00 beta=60.00 gamma=60.00
Last column: nearest neighbours and their distance in Å.
Sites, in units of the cell vectors:
1 Sr 0.0000 0.0000 0.0000  12 Ir 3.21, 4 La 3.35
2 La 0.2500 0.2500 0.2500  12 Ir 3.21, 4 Sr 3.35
3 Ir 0.1249 0.6250 0.6250  6 Ir 2.74
4 Ir 0.6250 0.1249 0.6250  6 Ir 2.74
5 Ir 0.6250 0.6250 0.1249  6 Ir 2.74
6 Ir 0.6250 0.6250 0.6250  6 Ir 2.74

Its size of the total moment is 0.00 μB per formula unit. Its total energy is -45.1 eV/cell. Its symmetry is F-43m (216).

11.
SrLaIr2 | PBE | optimized geometry

Unit cell a=8.1074 b=8.1074 c=8.1074 alpha=31.40 beta=31.40 gamma=31.40
Last column: nearest neighbours and their distance in Å.
Sites, in units of the cell vectors:
1 Sr 0.0000 0.0000 0.0000  6 Ir 3.27-3.28
2 La 0.1651 0.1651 0.1651  6 Ir 3.07
3 Ir 0.4231 0.4231 0.4231  3 Ir 2.53
4 Ir 0.7568 0.7568 0.7568  3 Ir 2.53

Its size of the total moment is 0.70 μB per formula unit. Its total energy is -26.1 eV/cell. The distance to the lowest polymorph of the same formula comes out at 0.0 meV per atom. Its symmetry is R3m (160).

12.
SrLaIr2 | PBE | optimized geometry

Unit cell a=5.0769 b=5.0769 c=5.0769 alpha=60.00 beta=60.00 gamma=60.00
Last column: nearest neighbours and their distance in Å.
Sites, in units of the cell vectors:
1 Sr 0.0000 0.0000 0.0000  8 Ir 3.11
2 La 0.5000 0.5000 0.5000  8 Ir 3.11
3 Ir 0.2500 0.2500 0.2500  4 La 3.11, 4 Sr 3.11
4 Ir 0.7500 0.7500 0.7500  4 La 3.11, 4 Sr 3.11

Its size of the total moment is 0.00 μB per formula unit. Its total energy is -25.2 eV/cell. The distance to the lowest polymorph of the same formula comes out at 238.3 meV per atom. Its symmetry is Fm-3m (225).

13.
Sr2LaIr | PBE | optimized geometry

Unit cell a=5.4640 b=5.4640 c=5.4640 alpha=119.81 beta=119.81 gamma=90.33
Last column: nearest neighbours and their distance in Å.
Sites, in units of the cell vectors:
1 Sr 0.0000 0.0000 0.0000  4 Ir 3.35, 4 Sr 3.35
2 Sr 0.7500 0.2500 0.5000  4 La 3.35, 4 Sr 3.35
3 La 0.5000 0.5000 0.0000  4 Ir 3.35, 4 Sr 3.35
4 Ir 0.2500 0.7500 0.5000  4 La 3.35, 4 Sr 3.35

Its size of the total moment is 0.00 μB per formula unit. Its total energy is -16.6 eV/cell. The distance to the lowest polymorph of the same formula comes out at 466.9 meV per atom. Its symmetry is I-4m2 (119).

14.
SrLaIr2 | PBE | optimized geometry

Unit cell a=6.3533 b=6.3533 c=6.3533 alpha=103.85 beta=103.85 gamma=121.41
Last column: nearest neighbours and their distance in Å.
Sites, in units of the cell vectors:
1 Sr 0.0000 0.0000 0.0000  4 Ir 2.98, 2 La 3.11
2 Sr 0.7500 0.2500 0.5000  4 Ir 2.98, 2 La 3.11
3 La 0.2500 0.7500 0.5000  4 Ir 2.78, 2 Sr 3.11
4 La 0.5000 0.5000 0.0000  4 Ir 2.78, 2 Sr 3.11
5 Ir 0.1444 0.6250 0.0194  2 La 2.78, 2 Sr 2.98
6 Ir 0.3750 0.3944 0.5194  2 La 2.78, 2 Sr 2.98
7 Ir 0.6056 0.1250 0.9806  2 La 2.78, 2 Sr 2.98
8 Ir 0.8750 0.8556 0.4806  2 La 2.78, 2 Sr 2.98

Its size of the total moment is 0.00 μB per formula unit. Its total energy is -48.6 eV/cell. The distance to the lowest polymorph of the same formula comes out at 450.8 meV per atom. Its symmetry is I-42d (122).

15.
SrLaIr2 | PBE | optimized geometry

Unit cell a=5.1502 b=5.1502 c=3.4753 alpha=90.00 beta=90.00 gamma=96.58
Last column: nearest neighbours and their distance in Å.
Sites, in units of the cell vectors:
1 Sr 0.0000 0.0000 0.0000  8 Ir 3.11, 2 La 3.43, 2 Sr 3.48
2 La 0.5000 0.5000 0.0000  8 Ir 3.11, 2 Sr 3.43, 2 La 3.48
3 Ir 0.0000 0.5000 0.5000  4 La 3.11, 4 Sr 3.11, 4 Ir 3.43-3.48
4 Ir 0.5000 0.0000 0.5000  4 La 3.11, 4 Sr 3.11, 4 Ir 3.43-3.48

Its size of the total moment is 0.00 μB per formula unit. Its total energy is -25.2 eV/cell. The distance to the lowest polymorph of the same formula comes out at 231.5 meV per atom. Its symmetry is Cmmm (65).

16.
SrLaIr2 | PBE | optimized geometry

Unit cell a=6.1623 b=6.1623 c=5.1206 alpha=105.90 beta=105.90 gamma=29.75
Last column: nearest neighbours and their distance in Å.
Sites, in units of the cell vectors:
1 Sr 0.0000 0.0000 0.0000  7 Ir 3.08-3.40, 2 Sr 3.16, 1 La 3.38
2 La 0.1988 0.1988 0.6433  7 Ir 3.08-3.37, 2 La 3.16, 1 Sr 3.38
3 Ir 0.4387 0.4387 0.4563  2 Ir 2.67
4 Ir 0.7633 0.7633 0.1908  2 Ir 2.67

Its size of the total moment is 0.00 μB per formula unit. Its total energy is -25.0 eV/cell. The distance to the lowest polymorph of the same formula comes out at 286.4 meV per atom. Its symmetry is Cm (8).

17.
SrLaIr2 | PBE | optimized geometry

Unit cell a=5.8380 b=5.8380 c=5.8380 alpha=137.20 beta=137.20 gamma=62.14
Last column: nearest neighbours and their distance in Å.
Sites, in units of the cell vectors:
1 Sr 0.0000 0.0000 0.0000  8 Ir 3.01-3.28, 4 La 3.28
2 La 0.7500 0.2500 0.5000  8 Ir 3.01-3.28, 4 Sr 3.28
3 Ir 0.2500 0.7500 0.5000  4 La 3.01, 4 Ir 3.28, 4 Sr 3.28
4 Ir 0.5000 0.5000 0.0000  4 Sr 3.01, 4 Ir 3.28, 4 La 3.28

Its size of the total moment is 0.00 μB per formula unit. Its total energy is -24.4 eV/cell. The distance to the lowest polymorph of the same formula comes out at 433.6 meV per atom. Its symmetry is I-4m2 (119).

18.
Sr2LaIr | PBE | optimized geometry

Unit cell a=3.6340 b=3.6340 c=10.3107 alpha=90.00 beta=90.00 gamma=90.00
Last column: nearest neighbours and their distance in Å.
Sites, in units of the cell vectors:
1 Sr 0.0000 0.0000 0.1693  4 Ir 3.11
2 Sr 0.0000 0.0000 0.8307  4 Ir 3.11
3 La 0.5000 0.5000 0.5000  4 La 3.63
4 Ir 0.5000 0.5000 0.0000  8 Sr 3.11

Its size of the total moment is 0.00 μB per formula unit. Its total energy is -16.8 eV/cell. The distance to the lowest polymorph of the same formula comes out at 410.5 meV per atom. Its symmetry is P4/mmm (123).

19.
Sr2LaIr | PBE | optimized geometry

Unit cell a=4.2985 b=4.2985 c=10.0898 alpha=90.07 beta=90.07 gamma=59.96
Last column: nearest neighbours and their distance in Å.
Sites, in units of the cell vectors:
1 Sr 0.0000 0.0000 0.0000  3 La 4.20, 9 Sr 4.30-4.37, 1 Ir 4.68
2 Sr 0.6678 0.6678 0.6442  3 Ir 3.08
3 La 0.3338 0.3338 0.3355  3 Ir 2.80
4 Ir 0.0008 0.0008 0.4635  3 La 2.80, 3 Sr 3.08

Its size of the total moment is 0.00 μB per formula unit. Its total energy is -18.4 eV/cell. The distance to the lowest polymorph of the same formula comes out at 4.5 meV per atom. Its symmetry is Cm (8).

20.
Sr4LaIr | PBE | optimized geometry

Unit cell a=6.8682 b=6.8682 c=6.8682 alpha=60.00 beta=60.00 gamma=60.00
Last column: nearest neighbours and their distance in Å.
Sites, in units of the cell vectors:
1 Sr 0.1242 0.1242 0.1242  6 Sr 3.41-3.45
2 Sr 0.1242 0.1242 0.6273  6 Sr 3.41-3.45
3 Sr 0.1242 0.6273 0.1242  6 Sr 3.41-3.45
4 Sr 0.6273 0.1242 0.1242  6 Sr 3.41-3.45
5 La 0.5000 0.5000 0.5000  12 Sr 4.03, 4 Ir 4.21
6 Ir 0.7500 0.7500 0.7500  12 Sr 4.02, 4 La 4.21

Its size of the total moment is 1.26 μB per formula unit. Its total energy is -15.1 eV/cell. Its symmetry is F-43m (216).

Number 1: DFT formation energy -382 meV/atom. Number 2: DFT formation energy -673 meV/atom. Number 3: DFT formation energy 128 meV/atom. Number 4: DFT formation energy 40 meV/atom. Number 5: DFT formation energy -368 meV/atom. Number 6: DFT formation energy 556 meV/atom. Number 7: DFT formation energy -617 meV/atom. Number 8: DFT formation energy 111 meV/atom. Number 9: DFT formation energy 145 meV/atom. Number 10: DFT formation energy -501 meV/atom. Number 11: DFT formation energy -443 meV/atom. Number 12: DFT formation energy -205 meV/atom. Number 13: DFT formation energy 150 meV/atom. Number 14: DFT formation energy 7 meV/atom. Number 15: DFT formation energy -212 meV/atom. Number 16: DFT formation energy -157 meV/atom. Number 17: DFT formation energy -10 meV/atom. Number 18: DFT formation energy 94 meV/atom. Number 19: DFT formation energy -312 meV/atom. Number 20: DFT formation energy 906 meV/atom.